Computed, not measured: a relaxed structure of Sm3Fe5F12 at the GGA+U level of DFT.

Energy in eV per formula unit: -109.67

Lattice parameters (Å, degrees): 13.429 13.429 13.429 90.00 90.00 90.00
Space group Ia-3d (No. 230)
Unique sites:
Sm 0.000 0.250 0.125 [24 per cell]
Fe 0.000 0.000 0.000 [16 per cell]
Fe 0.000 0.250 0.375 [24 per cell]
F 0.014 0.076 0.653 [96 per cell]